Crystalline Ca4CuBr at its relaxed geometry. Source: the Alexandria database, functional GGA-PBEsol.

a = 9.477 Å, b = 9.477 Å, c = 9.477 Å
α = 90.00°, β = 90.00°, γ = 90.00°
Space group F-43m (No. 216)
Inequivalent atoms, fractional coordinates:
Ca1 0.124 0.124 0.376 (multiplicity 16)
Cu1 0.250 0.250 0.750 (multiplicity 4)
Br1 0.000 0.000 0.000 (multiplicity 4)

Output
The value obtained for the total magnetization is 0.0 μB/cell. For the uncorrected formation energy, the calculation gives 0.36 eV/atom.


Crystalline CaCuBr at its relaxed geometry. Source: the Alexandria database, functional GGA-PBEsol.

a = 6.868 Å, b = 6.868 Å, c = 6.868 Å
α = 90.00°, β = 90.00°, γ = 90.00°
Space group F-43m (No. 216)
Inequivalent atoms, fractional coordinates:
Ca1 0.000 0.000 0.000 (multiplicity 4)
Cu1 0.000 0.000 0.500 (multiplicity 4)
Br1 0.250 0.250 0.250 (multiplicity 4)

Output
The value obtained for the total magnetization is 0.0 μB/cell. For the uncorrected formation energy, the calculation gives -0.21 eV/atom.


Crystalline CaCuBr2 at its relaxed geometry. Source: the Alexandria database, functional GGA-PBEsol.

a = 4.747 Å, b = 4.747 Å, c = 3.740 Å
α = 90.00°, β = 90.00°, γ = 90.00°
Space group P4/mmm (No. 123)
Inequivalent atoms, fractional coordinates:
Ca1 0.000 0.000 0.000 (multiplicity 1)
Cu1 0.500 0.500 0.000 (multiplicity 1)
Br1 0.000 0.500 0.500 (multiplicity 2)

Output
The value obtained for the total magnetization is 0.0 μB/cell. For the uncorrected formation energy, the calculation gives -0.75 eV/atom.


Crystalline Ca2CuBr2O2 at its relaxed geometry. Source: the Alexandria database, functional GGA-PBEsol.

a = 3.828 Å, b = 3.828 Å, c = 17.266 Å
α = 90.00°, β = 90.00°, γ = 90.00°
Space group I4/mmm (No. 139)
Inequivalent atoms, fractional coordinates:
Ca1 0.000 0.000 0.090 (multiplicity 4)
Cu1 0.000 0.000 0.500 (multiplicity 2)
Br1 0.000 0.000 0.329 (multiplicity 4)
O1 0.000 0.500 0.000 (multiplicity 4)

Output
The value obtained for the total magnetization is 0.0 μB/cell. For the uncorrected formation energy, the calculation gives -1.94 eV/atom.


Crystalline Ca2CuSeBr at its relaxed geometry. Source: the Alexandria database, functional GGA-PBEsol.

a = 5.433 Å, b = 5.433 Å, c = 4.559 Å
α = 90.00°, β = 90.00°, γ = 90.00°
Space group P4/mmm (No. 123)
Inequivalent atoms, fractional coordinates:
Ca1 0.000 0.500 0.000 (multiplicity 2)
Cu1 0.000 0.000 0.000 (multiplicity 1)
Se1 0.500 0.500 0.500 (multiplicity 1)
Br1 0.000 0.000 0.500 (multiplicity 1)

Output
The value obtained for the total magnetization is 0.0 μB/cell. For the uncorrected formation energy, the calculation gives -0.54 eV/atom.


Crystalline Ca2BrF2 at its relaxed geometry. Source: the Alexandria database, functional GGA-PBEsol.

a = 4.071 Å, b = 4.071 Å, c = 11.519 Å
α = 90.00°, β = 90.00°, γ = 90.00°
Space group I4/mmm (No. 139)
Inequivalent atoms, fractional coordinates:
Ca1 0.000 0.000 0.150 (multiplicity 4)
Br1 0.000 0.000 0.500 (multiplicity 2)
F1 0.000 0.500 0.250 (multiplicity 4)

Output
The value obtained for the total magnetization is 1.5 μB/cell. For the uncorrected formation energy, the calculation gives -2.82 eV/atom.


Crystalline CaBr3F at its relaxed geometry. Source: the Alexandria database, functional GGA-PBEsol.

a = 4.913 Å, b = 4.913 Å, c = 4.913 Å
α = 90.00°, β = 90.00°, γ = 90.00°
Space group Pm-3m (No. 221)
Inequivalent atoms, fractional coordinates:
Ca1 0.000 0.000 0.000 (multiplicity 1)
Br1 0.000 0.500 0.500 (multiplicity 3)
F1 0.500 0.500 0.500 (multiplicity 1)

Output
The value obtained for the total magnetization is 0.0 μB/cell. For the uncorrected formation energy, the calculation gives -0.84 eV/atom.


Crystalline CaRh2BrF at its relaxed geometry. Source: the Alexandria database, functional GGA-PBEsol.

a = 4.052 Å, b = 4.052 Å, c = 5.598 Å
α = 90.00°, β = 90.00°, γ = 90.00°
Space group P4/mmm (No. 123)
Inequivalent atoms, fractional coordinates:
Ca1 0.000 0.000 0.000 (multiplicity 1)
Rh1 0.000 0.500 0.500 (multiplicity 2)
Br1 0.500 0.500 0.000 (multiplicity 1)
F1 0.500 0.500 0.500 (multiplicity 1)

Output
The value obtained for the total magnetization is 0.5 μB/cell. For the uncorrected formation energy, the calculation gives -0.28 eV/atom.